{"formula": "CdBrCl", "functional": "PBE-GGA", "state": "optimized geometry", "lattice": [[-1.2816, 3.6968, 0.7200], [-1.6733, -3.0855, 1.8727], [4.4111, 0.5766, 4.8912]], "species": ["Br", "Cl", "Cd"], "frac_coords": [[0.0000, 0.0000, 0.1001], [0.3333, 0.6667, 0.5569], [0.6667, 0.3333, 0.3431]], "raw_formation_energy_mev_per_atom": -969, "space_group": "P3m1 (156)"}

=====

{"formula": "Sm2DyEr7", "functional": "PBE-GGA", "state": "optimized geometry", "lattice": [[-5.6331, -1.0067, -2.1421], [-1.1501, -2.8118, -7.3054], [3.7478, -4.2692, 9.6332]], "species": ["Er", "Er", "Er", "Er", "Er", "Er", "Er", "Sm", "Sm", "Dy"], "frac_coords": [[0.5000, 0.5000, 0.0000], [0.0003, 0.2006, 0.8010], [0.9997, 0.5992, 0.3991], [0.4997, 0.2988, 0.1983], [0.0003, 0.4008, 0.6009], [0.5003, 0.7012, 0.8017], [0.9997, 0.7994, 0.1990], [0.4999, 0.0998, 0.3990], [0.5001, 0.9002, 0.6010], [0.0000, 0.0000, 0.0000]], "formation_energy_ev_per_atom": 0.025, "space_group": "P-1 (2)", "e_above_lowest_polymorph_mev_per_atom": 0.0}

=====

{"formula": "LaH3Pt", "functional": "PBE-GGA", "state": "optimized geometry", "lattice": [[6.2986, 0.0814, 0.3955], [0.1268, 4.5222, 0.0103], [-0.6384, 0.2606, 4.5275]], "species": ["Pt", "Pt", "La", "La", "H", "H", "H", "H", "H", "H"], "frac_coords": [[0.2648, 0.0765, 0.0760], [0.7671, 0.5737, 0.5808], [0.2673, 0.5758, 0.5744], [0.7645, 0.0737, 0.0804], [0.6286, 0.6026, 0.8808], [0.1244, 0.0925, 0.3704], [0.9117, 0.8740, 0.6368], [0.9034, 0.5458, 0.2789], [0.6227, 0.2728, 0.5258], [0.4063, 0.0595, 0.7827]], "space_group": "P1 (1)"}

=====

{"formula": "SnCI2", "functional": "PBE-GGA", "state": "optimized geometry", "lattice": [[0.0000, 3.8552, 3.8552], [3.8552, 0.0000, 3.8552], [3.8552, 3.8552, 0.0000]], "species": ["I", "I", "C", "Sn"], "frac_coords": [[0.2500, 0.2500, 0.2500], [0.7500, 0.7500, 0.7500], [0.0000, 0.0000, 0.0000], [0.5000, 0.5000, 0.5000]], "raw_formation_energy_mev_per_atom": 1522, "space_group": "Fm-3m (225)", "e_above_lowest_polymorph_mev_per_atom": 138.3}

=====

{"formula": "KFeBr2", "functional": "PBE-GGA", "state": "optimized geometry", "lattice": [[7.0399, -0.0052, -0.4475], [5.9084, 3.8277, -0.4475], [-0.3276, -0.0967, 5.1599]], "species": ["Br", "Br", "Fe", "K"], "frac_coords": [[0.2819, 0.2819, 0.3337], [0.0329, 0.0329, 0.7702], [0.4459, 0.4459, 0.5744], [0.7393, 0.7393, 0.8217]], "raw_formation_energy_mev_per_atom": -564, "space_group": "Cm (8)", "e_above_lowest_polymorph_mev_per_atom": 64.9}

=====

{"formula": "Ta5Ti5W2", "functional": "PBE-GGA", "state": "optimized geometry", "lattice": [[4.5905, 0.0000, 0.0000], [-2.2953, 6.6479, -2.0002], [0.0000, -2.5621, 7.5725]], "species": ["Ti", "Ti", "Ti", "Ti", "Ti", "W", "W", "Ta", "Ta", "Ta", "Ta", "Ta"], "frac_coords": [[0.7531, 0.5063, 0.7445], [0.3297, 0.6594, 0.0063], [0.6703, 0.3406, 0.9937], [0.5000, 0.0000, 0.5000], [0.2469, 0.4937, 0.2555], [0.9140, 0.8280, 0.2448], [0.0860, 0.1720, 0.7552], [0.0000, 0.0000, 0.0000], [0.5886, 0.1772, 0.2512], [0.1579, 0.3157, 0.5015], [0.8421, 0.6843, 0.4985], [0.4114, 0.8228, 0.7488]], "formation_energy_ev_per_atom": 0.016, "space_group": "C2/m (12)"}

=====

{"formula": "FeCoNi6", "functional": "PBE-GGA", "state": "optimized geometry", "lattice": [[-2.7386, -0.4281, 3.1656], [1.6914, -2.0911, 3.2359], [1.6167, 4.4858, 4.2345]], "species": ["Fe", "Ni", "Ni", "Ni", "Ni", "Ni", "Ni", "Co"], "frac_coords": [[0.5000, 0.5000, 0.5000], [0.0594, 0.5415, 0.3013], [0.6375, 0.6375, 0.0696], [0.3625, 0.3625, 0.9304], [0.4585, 0.9406, 0.6987], [0.9406, 0.4585, 0.6987], [0.5415, 0.0594, 0.3013], [0.0000, 0.0000, 0.0000]], "formation_energy_ev_per_atom": 0.291, "space_group": "C2/m (12)", "e_above_lowest_polymorph_mev_per_atom": 325.9}

=====

{"formula": "ErSc8In2", "functional": "PBE-GGA", "state": "optimized geometry", "lattice": [[-0.8571, -3.9966, 3.4030], [0.4949, -3.6344, -7.5056], [6.5234, 4.1536, 3.1591]], "species": ["Sc", "Sc", "Sc", "Sc", "Sc", "Sc", "Sc", "Sc", "In", "In", "Er"], "frac_coords": [[0.1526, 0.0976, 0.3319], [0.8474, 0.6681, 0.9024], [0.5000, 0.2109, 0.7891], [0.5000, 0.7891, 0.2109], [0.2915, 0.5748, 0.5748], [0.1526, 0.3319, 0.0976], [0.7085, 0.4252, 0.4252], [0.8474, 0.9024, 0.6681], [0.0000, 0.6914, 0.3086], [0.0000, 0.3086, 0.6914], [0.5000, 0.0000, 0.0000]], "formation_energy_ev_per_atom": -0.023, "space_group": "C2/m (12)"}

=====

For the records above, the corresponding theoretical density values read 4.2, 8.7, 8.6, 5.6, 3.1, 12.1, 7.8, 4.6 Mg/m³.
For the records above, the corresponding magnetic moment values read 0.000, 0.002, 0.000, 0.493, 0.752, 0.000, 1.027, 0.000 μB/atom.
For the records above, the corresponding final energy values read -7.3, -45.7, -48.2, -10.2, -15.2, -124.4, -47.9, -60.9 eV for the cell shown.